# 1
Computed, not measured: an optimized crystal structure of Cs2HoHgF6 at the PBE level of DFT.

Cell lengths 6.5040, 6.5040, 6.5040 Å; angles 60.00, 60.00, 60.00 degrees
Positions (direct):
Cs  0.2500  0.2500  0.2500
Cs  0.7500  0.7500  0.7500
Ho  0.0000  0.0000  0.0000
Hg  0.5000  0.5000  0.5000
F  0.2311  0.2311  0.7689
F  0.2311  0.7689  0.2311
F  0.2311  0.7689  0.7689
F  0.7689  0.2311  0.2311
F  0.7689  0.2311  0.7689
F  0.7689  0.7689  0.2311

Results
SG: Fm-3m
VASP energy: -4.64 eV/atom
Magnetic moment: 0.94 μB/f.u.

# 2
Computed, not measured: an optimized crystal structure of HfCdCoB at the PBE level of DFT.

Cell lengths 4.3322, 4.3322, 4.3322 Å; angles 60.00, 60.00, 60.00 degrees
Positions (direct):
Hf  0.0000  0.0000  0.0000
Cd  0.7500  0.7500  0.7500
Co  0.5000  0.5000  0.5000
B  0.2500  0.2500  0.2500

Results
Excess energy over the best structure of this formula in the dataset: 0.000 eV/f.u.
SG: F-43m
VASP energy: -5.63 eV/atom
Magnetic moment: 0.21 μB/f.u.

# 3
Computed, not measured: an optimized crystal structure of TbPr2Mg3Ir2Pd at the PBE level of DFT.

Cell lengths 4.0915, 7.4763, 7.4763 Å; angles 119.69, 90.00, 90.00 degrees
Positions (direct):
Tb  0.0000  0.0000  0.0000
Pr  0.0000  0.1672  0.5859
Pr  0.0000  0.5859  0.1672
Mg  0.5000  0.3373  0.3373
Mg  0.5000  0.5887  0.8315
Mg  0.5000  0.8315  0.5887
Ir  0.5000  0.2441  0.9217
Ir  0.5000  0.9217  0.2441
Pd  0.0000  0.5911  0.5911

Results
SG: Amm2
VASP energy: -5.27 eV/atom
Magnetic moment: 0.00 μB/f.u.

# 4
Computed, not measured: an optimized crystal structure of TbCdHg at the PBE level of DFT.

Cell lengths 4.8972, 4.8972, 4.8972 Å; angles 60.00, 60.00, 60.00 degrees
Positions (direct):
Tb  0.0000  0.0000  0.0000
Cd  0.5000  0.5000  0.5000
Hg  0.7500  0.7500  0.7500

Results
Energy of formation: -0.2497 eV/atom
SG: F-43m
VASP energy: -2.19 eV/atom
Magnetic moment: 0.04 μB/f.u.

# 5
Computed, not measured: an optimized crystal structure of DySF at the PBE level of DFT.

Cell lengths 8.6080, 8.6080, 8.6080 Å; angles 27.02, 27.02, 27.02 degrees
Positions (direct):
Dy  0.0000  0.0000  0.0000
Dy  0.5000  0.5000  0.5000
S  0.1091  0.1091  0.1091
S  0.8909  0.8909  0.8909
F  0.3326  0.3326  0.3326
F  0.6674  0.6674  0.6674

Results
SG: R-3m
VASP energy: -6.51 eV/atom
Magnetic moment: 0.00 μB/f.u.

# 6
Computed, not measured: an optimized crystal structure of MgReO3 at the PBE level of DFT.

Cell lengths 6.8131, 6.8131, 5.2117 Å; angles 98.30, 98.30, 82.26 degrees
Positions (direct):
Mg  0.0842  0.9158  0.7500
Mg  0.3025  0.6975  0.2500
Mg  0.6975  0.3025  0.7500
Mg  0.9158  0.0842  0.2500
Re  0.1320  0.4327  0.6256
Re  0.4327  0.1320  0.1256
Re  0.5673  0.8680  0.8744
Re  0.8680  0.5673  0.3744
O  0.0242  0.1935  0.6328
O  0.1394  0.6423  0.8955
O  0.1935  0.0242  0.1328
O  0.3159  0.4324  0.4002
O  0.3577  0.8606  0.6045
O  0.4324  0.3159  0.9002
O  0.5676  0.6841  0.0998
O  0.6423  0.1394  0.3955
O  0.6841  0.5676  0.5998
O  0.8065  0.9758  0.8672
O  0.8606  0.3577  0.1045
O  0.9758  0.8065  0.3672

Results
SG: C2/c
VASP energy: -7.58 eV/atom
Magnetic moment: 0.00 μB/f.u.

# 7
Computed, not measured: an optimized crystal structure of AgHg2Pd at the PBE level of DFT.

Cell lengths 4.7506, 4.7506, 4.7506 Å; angles 60.00, 60.00, 60.00 degrees
Positions (direct):
Ag  0.0000  0.0000  0.0000
Hg  0.2500  0.2500  0.2500
Hg  0.5000  0.5000  0.5000
Pd  0.7500  0.7500  0.7500

Results
Energy of formation: 0.0349 eV/atom
SG: F-43m
VASP energy: -2.11 eV/atom

# 8
Computed, not measured: an optimized crystal structure of Ba4ZnRe2O12 at the PBE level of DFT.

Cell lengths 9.8128, 9.8128, 9.8128 Å; angles 33.89, 33.89, 33.89 degrees
Positions (direct):
Ba  0.1309  0.1309  0.1309
Ba  0.2916  0.2916  0.2916
Ba  0.7084  0.7084  0.7084
Ba  0.8691  0.8691  0.8691
Zn  0.0000  0.0000  0.0000
Re  0.4198  0.4198  0.4198
Re  0.5802  0.5802  0.5802
O  0.1385  0.6135  0.6135
O  0.2196  0.2196  0.6921
O  0.2196  0.6921  0.2196
O  0.3079  0.7804  0.7804
O  0.3865  0.3865  0.8615
O  0.3865  0.8615  0.3865
O  0.6135  0.1385  0.6135
O  0.6135  0.6135  0.1385
O  0.6921  0.2196  0.2196
O  0.7804  0.3079  0.7804
O  0.7804  0.7804  0.3079
O  0.8615  0.3865  0.3865

Results
SG: R-3m
VASP energy: -7.12 eV/atom
Magnetic moment: 0.00 μB/f.u.

# 9
Computed, not measured: an optimized crystal structure of Tm4TlSnC2 at the PBE level of DFT.

Cell lengths 3.5626, 3.5626, 15.8308 Å; angles 90.00, 90.00, 120.00 degrees
Positions (direct):
Tm  0.0000  0.0000  0.1655
Tm  0.0000  0.0000  0.8345
Tm  0.3333  0.6667  0.3320
Tm  0.3333  0.6667  0.6680
Tl  0.0000  0.0000  0.5000
Sn  0.3333  0.6667  0.0000
C  0.6667  0.3333  0.2476
C  0.6667  0.3333  0.7524

Results
SG: P-6m2
VASP energy: -5.85 eV/atom
Magnetic moment: 0.01 μB/f.u.

# 10
Computed, not measured: an optimized crystal structure of LiCdTc2 at the PBE level of DFT.

Cell lengths 4.3966, 4.3966, 4.3966 Å; angles 60.00, 60.00, 60.00 degrees
Positions (direct):
Li  0.0000  0.0000  0.0000
Cd  0.2500  0.2500  0.2500
Tc  0.5000  0.5000  0.5000
Tc  0.7500  0.7500  0.7500

Results
SG: F-43m
VASP energy: -5.62 eV/atom
Magnetic moment: 0.02 μB/f.u.

# 11
Computed, not measured: an optimized crystal structure of CdSi2Bi at the PBE level of DFT.

Cell lengths 4.9968, 4.9968, 4.9968 Å; angles 60.00, 60.00, 60.00 degrees
Positions (direct):
Cd  0.0000  0.0000  0.0000
Si  0.2500  0.2500  0.2500
Si  0.5000  0.5000  0.5000
Bi  0.7500  0.7500  0.7500

Results
SG: F-43m
VASP energy: -3.35 eV/atom

# 12
Computed, not measured: an optimized crystal structure of LaPr2Ge7 at the PBE level of DFT.

Cell lengths 12.7078, 12.7078, 4.3473 Å; angles 90.00, 90.00, 160.96 degrees
Positions (direct):
La  0.0000  0.0000  0.0000
Pr  0.1811  0.8189  0.0000
Pr  0.8189  0.1811  0.0000
Ge  0.0914  0.9086  0.5000
Ge  0.2824  0.7176  0.5000
Ge  0.4085  0.5915  0.0000
Ge  0.5000  0.5000  0.5000
Ge  0.5915  0.4085  0.0000
Ge  0.7176  0.2824  0.5000
Ge  0.9086  0.0914  0.5000

Results
SG: Cmmm
VASP energy: -5.21 eV/atom
Magnetic moment: 0.00 μB/f.u.

# 13
Computed, not measured: an optimized crystal structure of ZrNbCoB at the PBE level of DFT.

Cell lengths 4.3244, 4.3244, 4.3244 Å; angles 60.00, 60.00, 60.00 degrees
Positions (direct):
Zr  0.0000  0.0000  0.0000
Nb  0.2500  0.2500  0.2500
Co  0.7500  0.7500  0.7500
B  0.5000  0.5000  0.5000

Results
Excess energy over the best structure of this formula in the dataset: 0.000 eV/f.u.
SG: F-43m
VASP energy: -7.53 eV/atom
Magnetic moment: 2.56 μB/f.u.

# 14
Computed, not measured: an optimized crystal structure of GdThOs3 at the PBE level of DFT.

Cell lengths 4.8904, 4.8904, 4.8904 Å; angles 90.00, 90.00, 90.00 degrees
Positions (direct):
Gd  0.0000  0.0000  0.0000
Th  0.5000  0.5000  0.5000
Os  0.0000  0.0000  0.5000
Os  0.0000  0.5000  0.0000
Os  0.5000  0.0000  0.0000

Results
Energy of formation: 1.7319 eV/atom
SG: Pm-3m
VASP energy: -7.42 eV/atom
Magnetic moment: 0.02 μB/f.u.

# 15
Computed, not measured: an optimized crystal structure of Na3SrSm2Pb3 at the PBE level of DFT.

Cell lengths 5.2170, 5.2170, 11.5484 Å; angles 90.00, 90.00, 120.00 degrees
Positions (direct):
Na  0.0000  0.0000  0.0000
Na  0.3333  0.6667  0.3087
Na  0.3333  0.6667  0.6913
Sr  0.6667  0.3333  0.5000
Sm  0.6667  0.3333  0.1635
Sm  0.6667  0.3333  0.8365
Pb  0.0000  0.0000  0.3058
Pb  0.0000  0.0000  0.6942
Pb  0.3333  0.6667  0.0000

Results
SG: P-6m2
VASP energy: -3.19 eV/atom
Magnetic moment: 0.00 μB/f.u.

# 16
Computed, not measured: an optimized crystal structure of SiB4W at the PBE level of DFT.

Cell lengths 4.5307, 4.5307, 4.5307 Å; angles 142.02, 107.88, 84.53 degrees
Positions (direct):
Si  0.0000  0.0000  0.0000
B  0.0760  0.7368  0.3392
B  0.3977  0.7368  0.6608
B  0.6023  0.2632  0.3392
B  0.9240  0.2632  0.6608
W  0.5000  0.5000  0.0000

Results
Excess energy over the best structure of this formula in the dataset: 0.000 eV/f.u.
SG: Immm
VASP energy: -7.35 eV/atom
Magnetic moment: 0.00 μB/f.u.

# 17
Computed, not measured: an optimized crystal structure of LaPbAu2 at the PBE level of DFT.

Cell lengths 5.1825, 5.1825, 5.1825 Å; angles 119.82, 119.82, 90.32 degrees
Positions (direct):
La  0.0000  0.0000  0.0000
Pb  0.5000  0.5000  0.0000
Au  0.2500  0.7500  0.5000
Au  0.7500  0.2500  0.5000

Results
SG: I4/mmm
VASP energy: -4.45 eV/atom
Magnetic moment: 0.00 μB/f.u.

# 18
Computed, not measured: an optimized crystal structure of CdSbPO at the PBE level of DFT.

Cell lengths 3.7250, 7.3670, 6.4689 Å; angles 90.00, 90.00, 90.00 degrees
Positions (direct):
Cd  0.0000  0.1455  0.0000
Cd  0.0000  0.8545  0.5000
Sb  0.5000  0.3701  0.5681
Sb  0.5000  0.6299  0.0681
P  0.0000  0.1924  0.3919
P  0.0000  0.8076  0.8919
O  0.5000  0.2361  0.8366
O  0.5000  0.7639  0.3366

Results
Excess energy over the best structure of this formula in the dataset: 0.000 eV/f.u.
SG: Pmc2_1
VASP energy: -4.32 eV/atom

# 19
Computed, not measured: an optimized crystal structure of SrPuGa at the PBE level of DFT.

Cell lengths 5.1627, 5.1627, 5.1627 Å; angles 60.00, 60.00, 60.00 degrees
Positions (direct):
Sr  0.0000  0.0000  0.0000
Pu  0.5000  0.5000  0.5000
Ga  0.7500  0.7500  0.7500

Results
Excess energy over the best structure of this formula in the dataset: 0.000 eV/f.u.
SG: F-43m
VASP energy: -6.17 eV/atom
Magnetic moment: 5.96 μB/f.u.

# 20
Computed, not measured: an optimized crystal structure of PrNiB4 at the PBE level of DFT.

Cell lengths 3.2245, 3.2245, 6.7746 Å; angles 90.00, 90.00, 120.00 degrees
Positions (direct):
Pr  0.0000  0.0000  0.0000
Ni  0.0000  0.0000  0.5000
B  0.3333  0.6667  0.3093
B  0.3333  0.6667  0.6907
B  0.6667  0.3333  0.3093
B  0.6667  0.3333  0.6907

Results
Excess energy over the best structure of this formula in the dataset: 2.405 eV/f.u.
SG: P6/mmm
VASP energy: -6.29 eV/atom
Magnetic moment: 0.00 μB/f.u.